(1)
# Lu2AgSn PBE relaxed
# crystal system	cubic
data_Lu2AgSn
_chemical_formula_sum 'Lu8 Ag4 Sn4'
_symmetry_space_group_name_H-M 'F -4 3 m'
_symmetry_Int_Tables_number 216
_symmetry_space_group_name_Hall 'F -4 2 3'
_cell_length_a 7.305
_cell_length_b 7.305
_cell_length_c 7.305
_cell_angle_alpha 90.00
_cell_angle_beta 90.00
_cell_angle_gamma 90.00
loop_
_atom_site_label
_atom_site_fract_x
_atom_site_fract_y
_atom_site_fract_z
Lu1 0.000 0.000 0.000
Lu2 0.250 0.250 0.250
Ag1 0.250 0.250 0.750
Sn1 0.000 0.000 0.500

(2)
# Al2Ga2Mo PBE relaxed
# crystal system	tetragonal
data_Al2Ga2Mo
_chemical_formula_sum 'Al4 Ga4 Mo2'
_symmetry_space_group_name_H-M 'I 4/m m m'
_symmetry_Int_Tables_number 139
_symmetry_space_group_name_Hall '-I 4 2'
_cell_length_a 3.728
_cell_length_b 3.728
_cell_length_c 11.758
_cell_angle_alpha 90.00
_cell_angle_beta 90.00
_cell_angle_gamma 90.00
loop_
_atom_site_label
_atom_site_fract_x
_atom_site_fract_y
_atom_site_fract_z
Al1 0.000 0.500 0.250
Ga1 0.000 0.000 0.100
Mo1 0.000 0.000 0.500

(3)
# ErPaNO PBE relaxed
# crystal system	tetragonal
data_ErPaNO
_chemical_formula_sum 'Er2 Pa2 N2 O2'
_symmetry_space_group_name_H-M 'P 4/n m m'
_symmetry_Int_Tables_number 129
_cell_length_a 3.930
_cell_length_b 3.930
_cell_length_c 8.388
_cell_angle_alpha 90.00
_cell_angle_beta 90.00
_cell_angle_gamma 90.00
loop_
_symmetry_equiv_pos_as_xyz
'x,y,z'
'-x,-y,-z'
'-y+1/2,x,z'
'y+1/2,-x,-z'
'-x+1/2,-y+1/2,z'
'x+1/2,y+1/2,-z'
'y,-x+1/2,z'
'-y,x+1/2,-z'
'x+1/2,-y,-z'
'-x+1/2,y,z'
'-y,-x,-z'
'y,x,z'
'-x,y+1/2,-z'
'x,-y+1/2,z'
'y+1/2,x+1/2,-z'
'-y+1/2,-x+1/2,z'
loop_
_atom_site_label
_atom_site_fract_x
_atom_site_fract_y
_atom_site_fract_z
Er1 0.250 0.750 0.000
Pa1 0.250 0.250 0.343
N1 0.250 0.250 0.820
O1 0.250 0.750 0.500

| no. | total magnetic moment (Bohr magnetons per cell) | electronic total energy (eV/f.u.) |
| --- | --- | --- |
| 1 | 0.00 | -16.13 |
| 2 | 2.23 | -22.21 |
| 3 | 2.00 | -31.10 |